Zr2FeBi: optimized geometry, PBE.

Cell lengths 6.9290, 6.9290, 6.9290 Å; angles 90.00, 90.00, 90.00 degrees
Last column: nearest neighbours and their distance in Å.
Space group Fm-3m (No. 225)
Asymmetric unit:
Zr 0.2500 0.2500 0.2500 (multiplicity 8)  4 Fe 3.00, 4 Bi 3.00
Fe 0.0000 0.0000 0.0000 (multiplicity 4)  8 Zr 3.00
Bi 0.0000 0.0000 0.5000 (multiplicity 4)  8 Zr 3.00

Computed properties:
Volume (Å³ per atom): 20.8
ΔE to the lowest computed polymorph (meV/atom): 0
ΔE_f (meV/atom): 56
VASP energy (eV/atom): -7.30